An optimized crystal structure of K2MgScF6. Source: Alexandria, functional PBE.

a = 5.7834 Å, b = 6.1907 Å, c = 8.2568 Å
α = 90.00°, β = 90.00°, γ = 90.00°
Each line ends with the local moment (μB).
Sites, in units of the cell vectors:
1 F 0.0000 0.7500 0.7468  0.00
2 F 0.5000 0.2500 0.2468  0.00
3 F 0.0000 0.7500 0.2532  0.00
4 F 0.7488 0.5227 0.5000  0.01
5 F 0.2512 0.5227 0.5000  0.01
6 F 0.5000 0.2500 0.7532  0.00
7 F 0.7488 0.9770 0.5000  0.01
8 F 0.7512 0.0230 0.0000  0.01
9 F 0.2488 0.0230 0.0000  0.01
10 F 0.7512 0.4773 0.0000  0.01
11 F 0.2512 0.9770 0.5000  0.01
12 F 0.2488 0.4773 0.0000  0.01
13 K 0.5000 0.7499 0.7473  0.01
14 K 0.5000 0.7499 0.2527  0.01
15 K 0.0000 0.2501 0.7527  0.01
16 K 0.0000 0.2501 0.2473  0.01
17 Sc 0.5000 0.2499 0.5000  0.68
18 Sc 0.0000 0.7501 0.0000  0.68
19 Mg 0.5000 0.2501 0.0000  0.00
20 Mg 0.0000 0.7499 0.5000  0.00

Properties
- Space group: Immm, No. 71
- ρ: 2.9 g cm⁻³
- DOS(E_F): 0.196 states/eV per atom
- Size of the total moment: 0.09 μB per atom
- Raw formation energy: -3.177 eV/atom
- Total DFT energy (no corrections): -5.31 eV/atom